! Ba3V2O8 | Alexandria via LeMat-Bulk | PBE+U | relaxed; values from VASP
! Magnetic moment in μB per formula unit: 0.00
! Final energy in eV/cell: -93.96
&SYSTEM
  ibrav = 0, nat = 13, ntyp = 3
/
ATOMIC_SPECIES
V 50.94 V.upf
O 16.00 O.upf
Ba 137.33 Ba.upf
CELL_PARAMETERS angstrom
7.962 0.002 0.001
5.778 5.478 0.001
5.778 2.305 4.970
ATOMIC_POSITIONS crystal
V 0.407 0.407 0.407
O 0.243 0.727 0.727
O 0.727 0.727 0.243
O 0.327 0.327 0.327
O 0.273 0.273 0.757
V 0.593 0.593 0.593
Ba 0.795 0.795 0.795
O 0.673 0.673 0.673
O 0.757 0.273 0.273
Ba 0.205 0.205 0.205
Ba 0.000 0.000 0.000
O 0.273 0.757 0.273
O 0.727 0.243 0.727